# K2RbCd

K2RbCd after structural relaxation (GGA-PBEsol, Alexandria).

a b c (Å): 6.5196 6.5196 6.5196
angles (deg): 60.00 60.00 60.00
Element x y z (fractional)
1 K 0.2500 0.2500 0.2500
2 K 0.7500 0.7500 0.7500
3 Rb 0.0000 0.0000 0.0000
4 Cd 0.5000 0.5000 0.5000

- calculated density (g/cm3) = 2.34
- V (Å³/f.u.) = 195.95


# K2RbCdW

K2RbCdW after structural relaxation (GGA-PBEsol, Alexandria).

a b c (Å): 6.4807 6.4807 5.4331
angles (deg): 90.00 90.00 90.00
Element x y z (fractional)
1 K 0.0000 0.5000 0.0000
2 K 0.5000 0.0000 0.0000
3 Rb 0.0000 0.0000 0.5000
4 Cd 0.5000 0.5000 0.0000
5 W 0.5000 0.5000 0.5000

- calculated density (g/cm3) = 3.35
- V (Å³/f.u.) = 228.19


# KCd2Re

KCd2Re after structural relaxation (GGA-PBEsol, Alexandria).

a b c (Å): 5.5594 5.5594 5.5594
angles (deg): 135.82 135.82 64.26
Element x y z (fractional)
1 K 0.0000 0.0000 0.0000
2 Cd 0.2500 0.7500 0.5000
3 Cd 0.5000 0.5000 0.0000
4 Re 0.7500 0.2500 0.5000

- calculated density (g/cm3) = 9.08
- V (Å³/f.u.) = 82.32


no.,DFT formation energy (eV per atom),Fermi-level density of states (states/eV/f.u.),size of the total moment (μB per atom)
1,0.0847,2.409,0.000
2,1.2249,3.675,0.827
3,1.2402,3.513,0.001